VASP calculation (PBE) on a relaxed TbRh3Pb crystal.

a = 5.6025 Å, b = 7.5808 Å, c = 9.1805 Å
α = 90.00°, β = 90.00°, γ = 90.00°
Space group Imma (No. 74)
One atom of each set of equivalent atoms:
Tb 0.0000 0.2500 0.0191 (multiplicity 4)
Rh 0.0000 0.2500 0.7210 (multiplicity 4)
Rh 0.2500 0.0566 0.2500 (multiplicity 8)
Pb 0.0000 0.0000 0.5000 (multiplicity 4)

- Formation energy from the elements: -0.325 eV/atom
- Magnetic moment: 0.00 μB/cell


VASP calculation (PBE) on a relaxed HoH4IrPt2 crystal.

a = 5.8183 Å, b = 8.3062 Å, c = 4.5412 Å
α = 90.00°, β = 128.96°, γ = 90.00°
Space group C2 (No. 5)
One atom of each set of equivalent atoms:
Ho 0.0000 0.0000 0.0000 (multiplicity 2)
H 0.1911 0.6244 0.3928 (multiplicity 4)
H 0.2280 0.2767 0.0110 (multiplicity 4)
Ir 0.0000 0.7495 0.5000 (multiplicity 2)
Pt 0.0000 0.2617 0.5000 (multiplicity 2)
Pt 0.0000 0.4823 0.0000 (multiplicity 2)

- Magnetic moment: 0.00 μB/cell
- Final energy: -5.19 eV per atom


VASP calculation (PBE) on a relaxed HAuCl crystal.

a = 5.9427 Å, b = 8.5142 Å, c = 6.2623 Å
α = 90.00°, β = 115.89°, γ = 90.00°
Space group P2_1/c (No. 14)
One atom of each set of equivalent atoms:
H 0.0032 0.0591 0.1532 (multiplicity 4)
Au 0.1556 0.1110 0.9810 (multiplicity 4)
Cl 0.3440 0.1464 0.7031 (multiplicity 4)

- Magnetic moment: 0.00 μB/cell
- Final energy: -2.97 eV per atom


VASP calculation (PBE) on a relaxed Gd2ScBi crystal.

a = 4.1111 Å, b = 4.1111 Å, c = 6.8000 Å
α = 90.00°, β = 90.00°, γ = 90.00°
Space group P4/mmm (No. 123)
One atom of each set of equivalent atoms:
Gd 0.0000 0.0000 0.2445 (multiplicity 2)
Sc 0.5000 0.5000 0.5000 (multiplicity 1)
Bi 0.5000 0.5000 0.0000 (multiplicity 1)

- Formation energy from the elements: -0.391 eV/atom
- Magnetic moment: 14.93 μB/cell
- E above lowest polymorph: 0.000 eV/atom


VASP calculation (PBE) on a relaxed Rb2HgRuO4 crystal.

a = 7.6327 Å, b = 7.6327 Å, c = 7.3279 Å
α = 90.00°, β = 90.00°, γ = 90.00°
Space group I-4 (No. 82)
One atom of each set of equivalent atoms:
Rb 0.0000 0.0000 0.0000 (multiplicity 2)
Rb 0.0000 0.5000 0.2500 (multiplicity 2)
Hg 0.0000 0.0000 0.5000 (multiplicity 2)
Ru 0.0000 0.5000 0.7500 (multiplicity 2)
O 0.0998 0.3392 0.8969 (multiplicity 8)

- Uncorrected formation energy: -1.064 eV/atom
- Magnetic moment: 4.00 μB/cell


VASP calculation (PBE) on a relaxed Cs6Rb2PdAu crystal.

a = 14.5026 Å, b = 14.5194 Å, c = 10.2674 Å
α = 90.00°, β = 134.87°, γ = 90.00°
Space group Cm (No. 8)
One atom of each set of equivalent atoms:
Cs 0.0000 0.0000 0.0000 (multiplicity 2)
Cs 0.0011 0.0000 0.4870 (multiplicity 2)
Cs 0.0130 0.5000 0.9999 (multiplicity 2)
Cs 0.0141 0.5000 0.5132 (multiplicity 2)
Cs 0.2576 0.2566 0.0001 (multiplicity 4)
Rb 0.2586 0.2501 0.5000 (multiplicity 4)
Pd 0.2561 0.5000 0.0000 (multiplicity 2)
Au 0.2561 0.0000 0.0001 (multiplicity 2)

- Formation energy from the elements: -0.035 eV/atom
- Magnetic moment: 0.00 μB/cell


VASP calculation (PBE) on a relaxed ZnCrSbTe2 crystal.

a = 5.3745 Å, b = 5.3745 Å, c = 5.0900 Å
α = 90.00°, β = 90.00°, γ = 90.00°
Space group P4/mmm (No. 123)
One atom of each set of equivalent atoms:
Zn 0.0000 0.0000 0.0000 (multiplicity 1)
Cr 0.5000 0.5000 0.5000 (multiplicity 1)
Sb 0.0000 0.0000 0.5000 (multiplicity 1)
Te 0.0000 0.5000 0.0000 (multiplicity 2)

- Uncorrected formation energy: 0.742 eV/atom
- Magnetic moment: 4.29 μB/cell
- E above lowest polymorph: 0.299 eV/atom


VASP calculation (PBE) on a relaxed Zr4CdP crystal.

a = 8.1040 Å, b = 8.1040 Å, c = 8.1040 Å
α = 90.00°, β = 90.00°, γ = 90.00°
Space group F-43m (No. 216)
One atom of each set of equivalent atoms:
Zr 0.1242 0.1242 0.1242 (multiplicity 16)
Cd 0.2500 0.2500 0.7500 (multiplicity 4)
P 0.0000 0.0000 0.5000 (multiplicity 4)

- Formation energy from the elements: 0.381 eV/atom
- Magnetic moment: 0.00 μB/cell


VASP calculation (PBE) on a relaxed BaAgP crystal.

a = 5.4266 Å, b = 5.4266 Å, c = 6.5113 Å
α = 90.00°, β = 90.00°, γ = 120.00°
Space group P6_3/mmc (No. 194)
One atom of each set of equivalent atoms:
Ba 0.3333 0.6667 0.2500 (multiplicity 2)
Ag 0.0000 0.0000 0.0000 (multiplicity 2)
P 0.3333 0.6667 0.7500 (multiplicity 2)

- Formation energy from the elements: -0.271 eV/atom
- Magnetic moment: 0.00 μB/cell


VASP calculation (PBE) on a relaxed CoRe2Mo crystal.

a = 3.3030 Å, b = 4.1539 Å, c = 8.2638 Å
α = 90.00°, β = 90.00°, γ = 90.00°
Space group Cmmm (No. 65)
One atom of each set of equivalent atoms:
Co 0.0000 0.0000 0.0000 (multiplicity 2)
Re 0.0000 0.5000 0.2290 (multiplicity 4)
Mo 0.0000 0.0000 0.5000 (multiplicity 2)

- Formation energy from the elements: 0.142 eV/atom
- Magnetic moment: 0.76 μB/cell
- E above lowest polymorph: 0.094 eV/atom


VASP calculation (PBE) on a relaxed CePa2Te5 crystal.

a = 8.1599 Å, b = 8.1599 Å, c = 14.4438 Å
α = 90.00°, β = 90.00°, γ = 90.00°
Space group I4/mcm (No. 140)
One atom of each set of equivalent atoms:
Ce 0.0000 0.0000 0.2500 (multiplicity 4)
Pa 0.1420 0.3580 0.0000 (multiplicity 8)
Te 0.0000 0.0000 0.0000 (multiplicity 4)
Te 0.1591 0.3409 0.3531 (multiplicity 16)

- Uncorrected formation energy: -0.996 eV/atom
- Magnetic moment: 16.05 μB/cell


VASP calculation (PBE) on a relaxed Nd3Dy7Tm2 crystal.

a = 5.8317 Å, b = 3.5631 Å, c = 18.7862 Å
α = 90.00°, β = 93.05°, γ = 90.00°
Space group P2/m (No. 10)
One atom of each set of equivalent atoms:
Nd 0.0000 0.0000 0.0000 (multiplicity 1)
Nd 0.2774 0.5000 0.6339 (multiplicity 2)
Dy 0.1907 0.5000 0.1444 (multiplicity 2)
Dy 0.2431 0.0000 0.4628 (multiplicity 2)
Dy 0.3069 0.0000 0.8227 (multiplicity 2)
Dy 0.5000 0.5000 0.0000 (multiplicity 1)
Tm 0.2118 0.0000 0.2929 (multiplicity 2)

- Formation energy from the elements: 0.088 eV/atom
- Magnetic moment: 0.00 μB/cell
- E above lowest polymorph: 0.000 eV/atom


VASP calculation (PBE) on a relaxed MgMn2Cd2Pt5 crystal.

a = 9.2931 Å, b = 9.2931 Å, c = 3.9656 Å
α = 90.00°, β = 90.00°, γ = 90.00°
Space group P4/mbm (No. 127)
One atom of each set of equivalent atoms:
Mg 0.0000 0.0000 0.0000 (multiplicity 2)
Mn 0.1258 0.3742 0.0000 (multiplicity 4)
Cd 0.1716 0.6716 0.0000 (multiplicity 4)
Pt 0.0000 0.5000 0.5000 (multiplicity 2)
Pt 0.0755 0.1984 0.5000 (multiplicity 8)

- Formation energy from the elements: -0.301 eV/atom
- Magnetic moment: 17.56 μB/cell


VASP calculation (PBE) on a relaxed KIrOs crystal.

a = 5.0707 Å, b = 4.4402 Å, c = 6.4457 Å
α = 90.00°, β = 107.80°, γ = 90.00°
Space group P2_1/m (No. 11)
One atom of each set of equivalent atoms:
K 0.2409 0.2500 0.0185 (multiplicity 2)
Ir 0.4037 0.2500 0.5464 (multiplicity 2)
Os 0.1313 0.7500 0.5491 (multiplicity 2)

- Formation energy from the elements: 0.518 eV/atom
- Magnetic moment: 0.00 μB/cell
- E above lowest polymorph: 0.051 eV/atom


VASP calculation (PBE) on a relaxed Nd2TeS2 crystal.

a = 9.6772 Å, b = 10.9961 Å, c = 7.5492 Å
α = 90.00°, β = 129.67°, γ = 90.00°
Space group C2/c (No. 15)
One atom of each set of equivalent atoms:
Nd 0.0000 0.0836 0.2500 (multiplicity 4)
Nd 0.0000 0.3332 0.7500 (multiplicity 4)
Te 0.0000 0.3750 0.2500 (multiplicity 4)
S 0.1419 0.1247 0.0327 (multiplicity 8)

- Uncorrected formation energy: -1.749 eV/atom
- Magnetic moment: 0.00 μB/cell
- E above lowest polymorph: 0.132 eV/atom


VASP calculation (PBE) on a relaxed Pm12Er7Mg crystal.

a = 15.0339 Å, b = 15.0339 Å, c = 10.1278 Å
α = 90.00°, β = 90.00°, γ = 120.00°
Space group R-3 (No. 148, hexagonal axes)
One atom of each set of equivalent atoms:
Pm 0.0430 0.8508 0.2511 (multiplicity 18)
Pm 0.0439 0.7935 0.5750 (multiplicity 18)
Er 0.0000 0.0000 0.5000 (multiplicity 3)
Er 0.0665 0.8237 0.9269 (multiplicity 18)
Mg 0.0000 0.0000 0.0000 (multiplicity 3)

- Formation energy from the elements: 0.145 eV/atom
- Magnetic moment: 0.00 μB/cell
- E above lowest polymorph: 0.000 eV/atom


VASP calculation (PBE) on a relaxed Y2CoRe crystal.

a = 4.0691 Å, b = 4.0691 Å, c = 9.7172 Å
α = 90.00°, β = 90.00°, γ = 90.00°
Space group I-4m2 (No. 119)
One atom of each set of equivalent atoms:
Y 0.0000 0.0000 0.0000 (multiplicity 2)
Y 0.0000 0.5000 0.2500 (multiplicity 2)
Co 0.0000 0.5000 0.7500 (multiplicity 2)
Re 0.0000 0.0000 0.5000 (multiplicity 2)

- Formation energy from the elements: 0.436 eV/atom
- Magnetic moment: 2.77 μB/cell


VASP calculation (PBE) on a relaxed CeTh2In2 crystal.

a = 5.3007 Å, b = 5.3007 Å, c = 12.1047 Å
α = 90.00°, β = 90.00°, γ = 120.00°
Space group P6_3/mmc (No. 194)
One atom of each set of equivalent atoms:
Ce 0.0000 0.0000 0.2500 (multiplicity 2)
Th 0.0000 0.0000 0.0000 (multiplicity 2)
Th 0.3333 0.6667 0.2500 (multiplicity 2)
In 0.3333 0.6667 0.6208 (multiplicity 4)

- Formation energy from the elements: 0.006 eV/atom
- Magnetic moment: 1.51 μB/cell
- E above lowest polymorph: 0.000 eV/atom